[1]
! PBE Y5HoSb4, optimized geometry; values from VASP
! Formation energy (no corrections) (eV per formula unit): -7.7
! Total magnetization (μB/cell): 0.000
&SYSTEM
  ibrav = 0, nat = 10, ntyp = 3
/
ATOMIC_SPECIES
Y 88.91 Y.upf
Ho 164.93 Ho.upf
Sb 121.76 Sb.upf
CELL_PARAMETERS angstrom
9.3134 -2.1531 0.0000
9.3134 2.1531 0.0000
-2.2489 0.0000 8.1022
ATOMIC_POSITIONS angstrom
Y 0.0000 0.0000 0.0000
Y 5.6895 0.0000 1.2022
Y 4.7503 0.0000 5.4623
Y 11.6277 0.0000 2.6399
Y 10.6885 0.0000 6.8999
Ho -1.1244 0.0000 4.0511
Sb 1.8251 0.0000 4.7750
Sb 8.6366 0.0000 1.9773
Sb 7.7414 0.0000 6.1249
Sb 14.5529 0.0000 3.3272

[2]
! PBE TaRe2WN, optimized geometry; values from VASP
! Formation energy (no corrections) (eV per formula unit): 0.1
! Total magnetization (μB/cell): 0.000
&SYSTEM
  ibrav = 0, nat = 5, ntyp = 4
/
ATOMIC_SPECIES
Ta 180.95 Ta.upf
Re 186.21 Re.upf
W 183.84 W.upf
N 14.01 N.upf
CELL_PARAMETERS angstrom
4.0994 0.0000 0.0000
0.0000 4.0994 0.0000
0.0000 0.0000 4.1924
ATOMIC_POSITIONS angstrom
Ta 0.0000 0.0000 0.0000
Re 0.0000 2.0497 2.0962
Re 2.0497 0.0000 2.0962
W 2.0497 2.0497 0.0000
N 0.0000 0.0000 2.0962

[3]
! PBE InPd3Au, optimized geometry; values from VASP
! Energy of formation (eV per formula unit): 3.5
! Total magnetization (μB/cell): 0.000
&SYSTEM
  ibrav = 0, nat = 5, ntyp = 3
/
ATOMIC_SPECIES
In 114.82 In.upf
Pd 106.42 Pd.upf
Au 196.97 Au.upf
CELL_PARAMETERS angstrom
4.9916 0.0000 0.0000
0.0000 4.9916 0.0000
0.0000 0.0000 4.9916
ATOMIC_POSITIONS angstrom
In 0.0000 0.0000 0.0000
Pd 0.0000 2.4958 2.4958
Pd 2.4958 0.0000 2.4958
Pd 2.4958 2.4958 0.0000
Au 2.4958 2.4958 2.4958

[4]
! PBE RbGe4Pt4, optimized geometry; values from VASP
! Energy of formation (eV per formula unit): -4.3
! Total magnetization (μB/cell): 0.000
&SYSTEM
  ibrav = 0, nat = 9, ntyp = 3
/
ATOMIC_SPECIES
Rb 85.47 Rb.upf
Ge 72.64 Ge.upf
Pt 195.08 Pt.upf
CELL_PARAMETERS angstrom
-4.4159 4.4159 2.3911
4.4159 -4.4159 2.3911
4.4159 4.4159 -2.3911
ATOMIC_POSITIONS angstrom
Rb 0.0000 0.0000 0.0000
Ge 5.4225 1.0936 0.0271
Ge 1.0936 3.4092 0.0271
Ge 3.3223 1.0067 2.4182
Ge -1.0067 3.3223 2.4182
Pt 2.9446 1.6083 0.0272
Pt 2.8076 -1.4713 2.4183
Pt 1.6083 5.8871 0.0272
Pt 1.4713 2.8076 2.4183

[5]
! PBE MgSc2InB, optimized geometry; values from VASP
! Energy of formation (eV per formula unit): -1.1
! Total magnetization (μB/cell): 0.000
&SYSTEM
  ibrav = 0, nat = 5, ntyp = 4
/
ATOMIC_SPECIES
Mg 24.30 Mg.upf
Sc 44.96 Sc.upf
In 114.82 In.upf
B 10.81 B.upf
CELL_PARAMETERS angstrom
4.6953 0.0000 0.0000
0.0000 4.6953 0.0000
0.0000 0.0000 4.5644
ATOMIC_POSITIONS angstrom
Mg 0.0000 0.0000 0.0000
Sc 0.0000 2.3476 2.2822
Sc 2.3476 0.0000 2.2822
In 2.3476 2.3476 0.0000
B 0.0000 0.0000 2.2822

[6]
! PBE La3PmPr6, optimized geometry; values from VASP
! Energy of formation (eV per formula unit): 1.2
! Total magnetization (μB/cell): 0.000
&SYSTEM
  ibrav = 0, nat = 20, ntyp = 3
/
ATOMIC_SPECIES
La 138.91 La.upf
Pm 145.00 Pm.upf
Pr 140.91 Pr.upf
CELL_PARAMETERS angstrom
5.6279 -9.8776 0.0000
5.6279 9.8776 0.0000
0.0000 0.0000 6.5541
ATOMIC_POSITIONS angstrom
La 5.6279 7.5661 3.2770
La 3.6777 2.3243 5.7573
La 3.6777 -2.3243 2.4803
La 7.5782 2.3243 5.7573
La 7.5782 -2.3243 2.4803
La 5.6279 -7.5661 0.0000
Pm 5.6279 3.7357 3.3961
Pm 5.6279 -3.7357 0.1190
Pr 2.6749 4.1162 1.8866
Pr 1.9170 0.8163 3.0943
Pr 1.9170 -0.8163 6.3714
Pr 5.6279 5.5653 0.3783
Pr 2.6749 -4.1162 5.1637
Pr 5.6279 0.6536 1.8298
Pr 5.6279 -0.6536 5.1068
Pr 8.5810 4.1162 1.8866
Pr 5.6279 -5.5653 3.6553
Pr 9.3388 0.8163 3.0943
Pr 9.3388 -0.8163 6.3714
Pr 8.5810 -4.1162 5.1637

[7]
! PBE Ce5Bi2Rh, optimized geometry; values from VASP
! Energy of formation (eV per formula unit): -1.1
! Total magnetization (μB/cell): 7.713
&SYSTEM
  ibrav = 0, nat = 16, ntyp = 3
/
ATOMIC_SPECIES
Ce 140.12 Ce.upf
Bi 208.98 Bi.upf
Rh 102.91 Rh.upf
CELL_PARAMETERS angstrom
2.5936 -7.6531 0.0000
2.5936 7.6531 0.0000
0.0000 0.0000 14.6185
ATOMIC_POSITIONS angstrom
Ce 2.5936 6.2981 8.7066
Ce 2.5936 6.2981 13.2212
Ce 2.5936 3.6154 7.9907
Ce 2.5936 3.6154 13.9371
Ce 2.5936 3.2452 3.6546
Ce 2.5936 -3.2452 10.9639
Ce 2.5936 -3.6154 0.6814
Ce 2.5936 -3.6154 6.6279
Ce 2.5936 -6.2981 1.3974
Ce 2.5936 -6.2981 5.9119
Bi 2.5936 5.8283 1.7896
Bi 2.5936 5.8283 5.5197
Bi 2.5936 -5.8283 9.0989
Bi 2.5936 -5.8283 12.8289
Rh 2.5936 4.6541 10.9639
Rh 2.5936 -4.6541 3.6546

[8]
! PBE BaSr2ZnBr8, optimized geometry; values from VASP
! Formation energy (no corrections) (eV per formula unit): -20.9
! Total magnetization (μB/cell): 0.000
&SYSTEM
  ibrav = 0, nat = 12, ntyp = 4
/
ATOMIC_SPECIES
Ba 137.33 Ba.upf
Sr 87.62 Sr.upf
Zn 65.41 Zn.upf
Br 79.90 Br.upf
CELL_PARAMETERS angstrom
6.8597 0.0000 0.0000
0.0000 9.1669 0.0000
-0.1388 0.0000 7.0797
ATOMIC_POSITIONS angstrom
Ba 0.0000 0.0000 0.0000
Sr 3.3605 2.4552 3.5398
Sr 3.3605 6.7117 3.5398
Zn 0.0000 4.5835 0.0000
Br 1.4891 2.6889 1.0703
Br 1.4891 6.4780 1.0703
Br 1.5904 4.5835 4.8314
Br 1.7765 0.0000 4.5116
Br 4.9444 0.0000 2.5681
Br 5.1306 4.5835 2.2483
Br 5.2318 2.6889 6.0093
Br 5.2318 6.4780 6.0093